Crystalline CsAcMo2O8 at its relaxed geometry, computed with PBE+U.

abc: 6.3031 6.3031 8.6494
angles: 90.00 90.00 120.00
Fractional positions:
Cs: 0.0000 0.0000 0.0000
Ac: 0.0000 0.0000 0.5000
Mo: 0.3333 0.6667 0.7504
Mo: 0.6667 0.3333 0.2496
O: 0.1764 0.3527 0.6820
O: 0.1764 0.8236 0.6820
O: 0.3333 0.6667 0.9531
O: 0.3527 0.1764 0.3180
O: 0.6473 0.8236 0.6820
O: 0.6667 0.3333 0.0469
O: 0.8236 0.1764 0.3180
O: 0.8236 0.6473 0.3180

## Properties
Symmetry = P-3m1
Volume = 297.6 Å³/f.u.
Raw total energy = -85.06 eV for the cell shown
ρ = 3.8 g cm⁻³